No. 1
DFT (PBEsol) results for a relaxed structure of InGa2Hg2.

Calculated values
Crystal system: tetragonal
Energy relative to the elements in meV/atom: 62.2

a b c (Å): 3.7646 3.7646 15.8251
angles (deg): 90.00 90.00 90.00
Closest atoms and distances in Å follow each position.
Element x y z (fractional)
1 In 0.0000 0.0000 0.0000  8 Hg 3.12
2 In 0.5000 0.5000 0.5000  8 Hg 3.12
3 Ga 0.0000 0.5000 0.2500  4 Ga 2.66
4 Ga 0.0000 0.5000 0.7500  4 Ga 2.66
5 Ga 0.5000 0.0000 0.2500  4 Ga 2.66
6 Ga 0.5000 0.0000 0.7500  4 Ga 2.66
7 Hg 0.0000 0.0000 0.3971  4 Ga 2.99, 4 In 3.12, 1 Hg 3.26
8 Hg 0.0000 0.0000 0.6029  4 Ga 2.99, 4 In 3.12, 1 Hg 3.26
9 Hg 0.5000 0.5000 0.1029  4 Ga 2.99, 4 In 3.12, 1 Hg 3.26
10 Hg 0.5000 0.5000 0.8971  4 Ga 2.99, 4 In 3.12, 1 Hg 3.26

No. 2
DFT (PBEsol) results for a relaxed structure of Pr6RuBr10.

Calculated values
Crystal system: triclinic
ΔE_f (raw) in eV/atom: -1.545

a b c (Å): 7.5700 9.2415 9.5281
angles (deg): 108.84 97.00 107.32
Closest atoms and distances in Å follow each position.
Element x y z (fractional)
1 Pr 0.0269 0.2090 0.4105  1 Ru 2.62, 1 Br 2.94
2 Pr 0.1346 0.5528 0.2469  1 Ru 2.86, 5 Br 2.93-3.12
3 Pr 0.3822 0.6550 0.6923  5 Br 2.85-3.11, 1 Ru 2.89
4 Pr 0.6178 0.3450 0.3077  5 Br 2.85-3.11, 1 Ru 2.89
5 Pr 0.8654 0.4472 0.7531  1 Ru 2.86, 5 Br 2.93-3.12
6 Pr 0.9731 0.7910 0.5895  1 Ru 2.62, 1 Br 2.94
7 Ru 0.0000 0.5000 0.5000  6 Pr 2.62-2.89
8 Br 0.0914 0.8726 0.3273  3 Pr 2.93-3.15
9 Br 0.1919 0.2362 0.1444  3 Pr 2.95-3.11
10 Br 0.2584 0.5800 0.9526  3 Pr 2.97-3.12
11 Br 0.3648 0.9749 0.7779  2 Pr 2.85-2.94
12 Br 0.4447 0.3241 0.5818  4 Pr 3.07-3.10
13 Br 0.5553 0.6759 0.4182  4 Pr 3.07-3.10
14 Br 0.6352 0.0251 0.2221  2 Pr 2.85-2.94
15 Br 0.7416 0.4200 0.0474  3 Pr 2.97-3.12
16 Br 0.8081 0.7638 0.8556  3 Pr 2.95-3.11
17 Br 0.9086 0.1274 0.6727  3 Pr 2.93-3.15

No. 3
DFT (PBEsol) results for a relaxed structure of LaIn2Ir.

Calculated values
Crystal system: orthorhombic
Energy relative to the elements in meV/atom: -404.2

a b c (Å): 5.3766 7.9748 4.6518
angles (deg): 90.00 90.00 90.00
Closest atoms and distances in Å follow each position.
Element x y z (fractional)
1 La 0.0000 0.0000 0.0000  2 Ir 2.69
2 La 0.5000 0.5000 0.0000  2 Ir 2.69
3 In 0.0000 0.3213 0.5000  2 Ir 2.73, 3 In 2.85-2.92
4 In 0.0000 0.6787 0.5000  2 Ir 2.73, 3 In 2.85-2.92
5 In 0.5000 0.1787 0.5000  2 Ir 2.73, 3 In 2.85-2.92
6 In 0.5000 0.8213 0.5000  2 Ir 2.73, 3 In 2.85-2.92
7 Ir 0.0000 0.5000 0.0000  2 La 2.69, 4 In 2.73
8 Ir 0.5000 0.0000 0.0000  2 La 2.69, 4 In 2.73

No. 4
DFT (PBEsol) results for a relaxed structure of LiZnCo.

Calculated values
Crystal system: cubic
Energy relative to the elements in meV/atom: 563.4

a b c (Å): 5.6116 5.6116 5.6116
angles (deg): 90.00 90.00 90.00
Closest atoms and distances in Å follow each position.
Element x y z (fractional)
1 Li 0.0000 0.0000 0.0000  4 Co 2.43
2 Li 0.0000 0.5000 0.5000  4 Co 2.43
3 Li 0.5000 0.0000 0.5000  4 Co 2.43
4 Li 0.5000 0.5000 0.0000  4 Co 2.43
5 Zn 0.0000 0.0000 0.5000  4 Co 2.43
6 Zn 0.0000 0.5000 0.0000  4 Co 2.43
7 Zn 0.5000 0.0000 0.0000  4 Co 2.43
8 Zn 0.5000 0.5000 0.5000  4 Co 2.43
9 Co 0.2500 0.2500 0.2500  4 Zn 2.43, 4 Li 2.43
10 Co 0.2500 0.7500 0.7500  4 Zn 2.43, 4 Li 2.43
11 Co 0.7500 0.2500 0.7500  4 Zn 2.43, 4 Li 2.43
12 Co 0.7500 0.7500 0.2500  4 Zn 2.43, 4 Li 2.43

No. 5
DFT (PBEsol) results for a relaxed structure of AlCr2.

Calculated values
Crystal system: trigonal
Energy relative to the elements in meV/atom: -84.1

a b c (Å): 4.0581 4.0581 2.5207
angles (deg): 90.00 90.00 120.00
Closest atoms and distances in Å follow each position.
Element x y z (fractional)
1 Al 0.0000 0.0000 0.0000  2 Al 2.52, 12 Cr 2.54-2.81
2 Cr 0.3333 0.6667 0.6141  5 Cr 2.41-2.52, 3 Al 2.54
3 Cr 0.6667 0.3333 0.3859  5 Cr 2.41-2.52, 3 Al 2.54

No. 6
DFT (PBEsol) results for a relaxed structure of CePd5.

Calculated values
Crystal system: hexagonal
Energy relative to the elements in meV/atom: -476.2

a b c (Å): 5.2184 5.2184 4.4302
angles (deg): 90.00 90.00 120.00
Closest atoms and distances in Å follow each position.
Element x y z (fractional)
1 Ce 0.0000 0.0000 0.0000  6 Pd 3.01
2 Pd 0.0000 0.5000 0.5000  8 Pd 2.61-2.68
3 Pd 0.3333 0.6667 0.0000  6 Pd 2.68
4 Pd 0.5000 0.0000 0.5000  8 Pd 2.61-2.68
5 Pd 0.5000 0.5000 0.5000  8 Pd 2.61-2.68
6 Pd 0.6667 0.3333 0.0000  6 Pd 2.68

No. 7
DFT (PBEsol) results for a relaxed structure of TiNb2F.

Calculated values
Crystal system: cubic
ΔE_f (raw) in eV/atom: 0.308

a b c (Å): 6.2736 6.2736 6.2736
angles (deg): 90.00 90.00 90.00
Closest atoms and distances in Å follow each position.
Element x y z (fractional)
1 Ti 0.0000 0.0000 0.0000  8 Nb 2.72
2 Ti 0.0000 0.5000 0.5000  8 Nb 2.72
3 Ti 0.5000 0.0000 0.5000  8 Nb 2.72
4 Ti 0.5000 0.5000 0.0000  8 Nb 2.72
5 Nb 0.2500 0.2500 0.2500  4 F 2.72, 4 Ti 2.72
6 Nb 0.2500 0.2500 0.7500  4 F 2.72, 4 Ti 2.72
7 Nb 0.2500 0.7500 0.2500  4 F 2.72, 4 Ti 2.72
8 Nb 0.2500 0.7500 0.7500  4 F 2.72, 4 Ti 2.72
9 Nb 0.7500 0.2500 0.2500  4 F 2.72, 4 Ti 2.72
10 Nb 0.7500 0.2500 0.7500  4 F 2.72, 4 Ti 2.72
11 Nb 0.7500 0.7500 0.2500  4 F 2.72, 4 Ti 2.72
12 Nb 0.7500 0.7500 0.7500  4 F 2.72, 4 Ti 2.72
13 F 0.0000 0.0000 0.5000  8 Nb 2.72
14 F 0.0000 0.5000 0.0000  8 Nb 2.72
15 F 0.5000 0.0000 0.0000  8 Nb 2.72
16 F 0.5000 0.5000 0.5000  8 Nb 2.72

No. 8
DFT (PBEsol) results for a relaxed structure of ZnIr2Os.

Calculated values
Crystal system: orthorhombic
Energy relative to the elements in meV/atom: 258.0

a b c (Å): 2.6991 4.6765 9.0075
angles (deg): 90.00 90.00 90.00
Closest atoms and distances in Å follow each position.
Element x y z (fractional)
1 Zn 0.0000 0.0000 0.0000  4 Ir 2.59, 6 Zn 2.70
2 Zn 0.5000 0.5000 0.0000  4 Ir 2.59, 6 Zn 2.70
3 Ir 0.0000 0.5000 0.2457  2 Zn 2.59, 2 Os 2.66, 6 Ir 2.70
4 Ir 0.0000 0.5000 0.7543  2 Zn 2.59, 2 Os 2.66, 6 Ir 2.70
5 Ir 0.5000 0.0000 0.2457  2 Zn 2.59, 2 Os 2.66, 6 Ir 2.70
6 Ir 0.5000 0.0000 0.7543  2 Zn 2.59, 2 Os 2.66, 6 Ir 2.70
7 Os 0.0000 0.0000 0.5000  4 Ir 2.66, 6 Os 2.70
8 Os 0.5000 0.5000 0.5000  4 Ir 2.66, 6 Os 2.70